Compound: GaFeO2F
Source: Alexandria
Functional: PBE+U
Structure: optimized geometry

Cell: 3.9103 3.9103 3.9633 Å, 90.00 90.00 90.00°
Fractional positions:
1 F 0.0000 0.0000 0.5000
2 O 0.5000 0.0000 0.0000
3 O 0.0000 0.5000 0.0000
4 Ga 0.5000 0.5000 0.5000
5 Fe 0.0000 0.0000 0.0000

**Total energy**: -26.212 eV/cell
**Crystal system**: tetragonal